This record from the Alexandria database describes a relaxed structure of BeTlCu2I6. The functional is GGA-PBE.

```
BeTlCu2I6
1.0
-5.1155 3.6228 -6.0831
-5.6311 -7.2544 -4.6915
-8.8945 3.0839 4.2098
Be Cu I Tl
2 4 12 2
Direct
0.2500 0.1778 0.8222 Be
0.7500 0.8222 0.1778 Be
0.1167 0.3625 0.2427 Cu
0.8833 0.6375 0.7573 Cu
0.6167 0.2427 0.3625 Cu
0.3833 0.7573 0.6375 Cu
0.0129 0.6353 0.1554 I
0.9871 0.3647 0.8446 I
0.5129 0.1554 0.6353 I
0.4871 0.8446 0.3647 I
0.1885 0.9586 0.8203 I
0.8115 0.0414 0.1797 I
0.6526 0.5914 0.6786 I
0.1526 0.6786 0.5914 I
0.3474 0.4086 0.3214 I
0.6885 0.8203 0.9586 I
0.3115 0.1797 0.0414 I
0.8474 0.3214 0.4086 I
0.7500 0.1548 0.8452 Tl
0.2500 0.8452 0.1548 Tl
```

## Properties
As for the space group: C2/c (15). Its raw total energy is -53.097 eV for the cell shown. The formation energy without anion corrections comes out at -0.30 eV/atom. Its crystal system is monoclinic.

---

This record from the Alexandria database describes a relaxed structure of In6Ga8Sn. The functional is GGA-PBE.

```
In6Ga8Sn
1.0
6.4099 0.0000 3.3637
2.3224 5.9744 3.3637
-0.6805 -0.4656 9.0860
Ga In Sn
8 6 1
Direct
0.1464 0.4613 0.5751 Ga
0.8536 0.5387 0.4249 Ga
0.6660 0.6660 0.0020 Ga
0.5387 0.1828 0.4249 Ga
0.8172 0.1464 0.5751 Ga
0.3340 0.3340 0.9980 Ga
0.4613 0.8172 0.5751 Ga
0.1828 0.8536 0.4249 Ga
0.2786 0.5765 0.2134 In
0.5765 0.9314 0.2134 In
0.4235 0.0686 0.7866 In
0.9314 0.2786 0.2134 In
0.0686 0.7214 0.7866 In
0.7214 0.4235 0.7866 In
0.0000 0.0000 0.0000 Sn
```

## Properties
As for the space group: R-3 (148). Its raw total energy is -43.431 eV for the cell shown. The calculation puts the energy relative to the elements at 0.0812 eV per atom. Its crystal system is trigonal.

---

This record from the Alexandria database describes a relaxed structure of LiTmThPt. The functional is GGA-PBE.

```
LiTmThPt
1.0
5.0492 0.0000 0.0000
2.5246 4.3727 0.0000
2.5246 1.4576 4.1227
Pt Li Th Tm
1 1 1 1
Direct
0.7500 0.7500 0.7500 Pt
0.2500 0.2500 0.2500 Li
0.5000 0.5000 0.5000 Th
0.0000 0.0000 0.0000 Tm
```

## Properties
As for the space group: F-43m (216). Its raw total energy is -21.927 eV for the cell shown. The calculation puts the energy relative to the elements at -0.5204 eV per atom. Its crystal system is cubic.

---

This record from the Alexandria database describes a relaxed structure of BaCu2Pt2. The functional is GGA-PBE.

```
BaCu2Pt2
1.0
4.3420 0.0000 0.0000
0.0000 4.3420 0.0000
2.1710 2.1710 5.2846
Pt Cu Ba
2 2 1
Direct
0.2500 0.7500 0.5000 Pt
0.7500 0.2500 0.5000 Pt
0.6193 0.6193 0.7614 Cu
0.3807 0.3807 0.2386 Cu
0.0000 0.0000 0.0000 Ba
```

## Properties
As for the space group: I4/mmm (139). Its raw total energy is -23.424 eV for the cell shown. Its energy above the most stable polymorph in this dataset is 0.0524 eV per atom. The calculation puts the energy relative to the elements at -0.2455 eV per atom. Its crystal system is tetragonal.

---

This record from the Alexandria database describes a relaxed structure of MgCuP. The functional is GGA-PBE.

```
MgCuP
1.0
4.4502 -0.2304 0.2651
3.1784 3.1221 0.2725
1.2719 0.4740 3.3189
Mg P Cu
1 1 1
Direct
0.6684 0.6684 0.3316 Mg
0.3240 0.3240 0.6760 P
0.0076 0.0076 0.9924 Cu
```

## Properties
As for the space group: I4mm (107). Its raw total energy is -11.289 eV for the cell shown. The calculation puts the energy relative to the elements at -0.0629 eV per atom. Its crystal system is tetragonal.

---

This record from the Alexandria database describes a relaxed structure of Na8CaHg6. The functional is GGA-PBE.

```
Na8CaHg6
1.0
-5.8545 -6.8125 -1.3783
0.9225 -5.3849 -7.2621
2.0957 -7.9599 0.4825
Hg Na Ca
6 8 1
Direct
0.7140 0.3813 0.8584 Hg
0.9537 0.2860 0.1416 Hg
0.2860 0.6187 0.1416 Hg
0.0463 0.7140 0.8584 Hg
0.3813 0.0463 0.8584 Hg
0.6187 0.9537 0.1416 Hg
0.6621 0.6621 0.0136 Na
0.7811 0.1120 0.6408 Na
0.3379 0.3379 0.9864 Na
0.4661 0.7811 0.6408 Na
0.2189 0.8880 0.3592 Na
0.8880 0.5339 0.3592 Na
0.1120 0.4661 0.6408 Na
0.5339 0.2189 0.3592 Na
0.0000 0.0000 0.0000 Ca
```

## Properties
As for the space group: R-3 (148). Its raw total energy is -17.453 eV for the cell shown. The calculation puts the energy relative to the elements at -0.2059 eV per atom. Its crystal system is trigonal.

---

This record from the Alexandria database describes a relaxed structure of ZrTi2AgN. The functional is GGA-PBE.

```
ZrTi2AgN
1.0
-2.0524 1.7774 -3.1667
-0.7833 -3.7685 -1.6075
-3.8212 -0.2115 2.3579
Ti Ag Zr N
2 1 1 1
Direct
0.5000 0.0000 0.0000 Ti
0.0000 0.5000 0.0000 Ti
0.5000 0.5000 0.5000 Ag
0.0000 0.0000 0.5000 Zr
0.0000 0.0000 0.0000 N
```

## Properties
As for the space group: P4/mmm (123). Its raw total energy is -39.279 eV for the cell shown. Its energy above the most stable polymorph in this dataset is 0.0000 eV per atom. The formation energy without anion corrections comes out at -0.75 eV/atom. Its crystal system is tetragonal.

---

This record from the Alexandria database describes a relaxed structure of PmEr7. The functional is GGA-PBE.

```
PmEr7
1.0
-4.4995 0.7895 -5.3522
-2.9482 -5.6513 -2.9807
-6.8505 -1.3034 0.9412
Er Pm
7 1
Direct
0.5000 0.0000 0.0000 Er
0.5000 0.5000 0.0000 Er
0.5000 0.5000 0.5000 Er
0.5000 0.0000 0.5000 Er
0.0000 0.5000 0.0000 Er
0.0000 0.5000 0.5000 Er
0.0000 0.0000 0.5000 Er
0.0000 0.0000 0.0000 Pm
```

## Properties
As for the space group: Fm-3m (225). Its raw total energy is -36.508 eV for the cell shown. The calculation puts the energy relative to the elements at 0.0228 eV per atom. Its crystal system is cubic.

---

no.,V (A^3/atom),Fermi-level density of states (states/eV per atom)
1,40.87,0.7264
2,24.54,0.4873
3,22.76,0.8959
4,19.93,0.3093
5,15.75,0.2480
6,30.33,0.5319
7,15.64,0.7734
8,30.80,1.4288